This record from Alexandria via LeMat-Bulk describes a geometry-optimized Mg3C structure. The functional is PBE.

Computed properties:
For the total energy, the calculation gives -2.48 eV/atom. The density is 2.08 g/cm³. Its formation energy is 1026 meV per atom. The crystal system is cubic. The volume comes out at 271 Å³/cell. The calculation puts the total magnetization at 0.000 μB/f.u. The excess energy over the best structure of this formula in the dataset is 0.691 eV/atom.

The structure in CIF format:
```
data_Mg3C
_cell_length_a 6.4722
_cell_length_b 6.4722
_cell_length_c 6.4722
_cell_angle_alpha 90.00
_cell_angle_beta 90.00
_cell_angle_gamma 90.00
_symmetry_space_group_name_H-M 'F m -3 m'
_symmetry_Int_Tables_number 225
_symmetry_space_group_name_Hall '-F 4 2 3'
loop_
_atom_site_label
_atom_site_type_symbol
_atom_site_fract_x
_atom_site_fract_y
_atom_site_fract_z
Mg1 Mg 0.0000 0.0000 0.0000
Mg2 Mg 0.2500 0.2500 0.2500
C1 C 0.0000 0.0000 0.5000
```